# 1
PmHgRh: optimized geometry, PBE.

Calculated values
Distance to the lowest polymorph of the same formula (meV per atom): 155
Mass density (Mg/m³): 11.3
Crystal system: tetragonal
Space-group type: I4mm (107)
DOS at the Fermi energy (states/eV/cell): 4.550
Total DFT energy (no corrections) (eV per atom): -4.5749

a = 3.6933 Å, b = 3.6933 Å, c = 9.6852 Å
α = 90.00°, β = 90.00°, γ = 90.00°
Last column: nearest neighbours and their distance in Å.
Element x y z (fractional)
Pm 0.0000 0.0000 0.0000  4 Rh 2.98, 5 Hg 3.02-3.18
Pm 0.5000 0.5000 0.5000  4 Rh 2.98, 5 Hg 3.02-3.18
Hg 0.0000 0.0000 0.6877  5 Pm 3.02-3.18, 5 Rh 3.05-3.26
Hg 0.5000 0.5000 0.1877  5 Pm 3.02-3.18, 5 Rh 3.05-3.26
Rh 0.0000 0.0000 0.3513  4 Pm 2.98, 5 Hg 3.05-3.26
Rh 0.5000 0.5000 0.8513  4 Pm 2.98, 5 Hg 3.05-3.26

***

# 2
Pm6Hg5Rh: optimized geometry, PBE.

Calculated values
Mass density (Mg/m³): 10.3
Crystal system: orthorhombic
Space-group type: Immm (71)
DOS at the Fermi energy (states/eV/cell): 10.138
Total DFT energy (no corrections) (eV per atom): -3.6284

a = 9.1784 Å, b = 9.1784 Å, c = 9.1784 Å
α = 146.32°, β = 131.38°, γ = 60.45°
Last column: nearest neighbours and their distance in Å.
Element x y z (fractional)
Pm 0.0790 0.3436 0.7354  1 Rh 3.05, 7 Hg 3.19-3.33
Pm 0.2297 0.0000 0.2297  2 Rh 3.18, 6 Hg 3.34-3.38, 1 Pm 3.47
Pm 0.3918 0.6564 0.7354  1 Rh 3.05, 7 Hg 3.19-3.33
Pm 0.6082 0.3436 0.2646  1 Rh 3.05, 7 Hg 3.19-3.33
Pm 0.7703 0.0000 0.7703  2 Rh 3.18, 6 Hg 3.34-3.38, 1 Pm 3.47
Pm 0.9210 0.6564 0.2646  1 Rh 3.05, 7 Hg 3.19-3.33
Hg 0.1831 0.1831 0.0000  8 Pm 3.23-3.38, 2 Hg 3.57
Hg 0.3330 0.8330 0.5000  8 Pm 3.32-3.34, 2 Hg 3.57
Hg 0.5000 0.5000 0.0000  8 Pm 3.19-3.35
Hg 0.6670 0.1670 0.5000  8 Pm 3.32-3.34, 2 Hg 3.57
Hg 0.8169 0.8169 0.0000  8 Pm 3.23-3.38, 2 Hg 3.57
Rh 0.0000 0.5000 0.5000  8 Pm 3.05-3.18